Record 1
SmGdAu | PBE | optimized geometry

a = 6.940 Å, b = 6.940 Å, c = 6.940 Å
α = 90.00°, β = 90.00°, γ = 90.00°
Sites, in units of the cell vectors:
Sm (0.000, 0.000, 0.000)
Sm (0.000, 0.500, 0.500)
Sm (0.500, 0.000, 0.500)
Sm (0.500, 0.500, 0.000)
Gd (0.250, 0.250, 0.750)
Gd (0.250, 0.750, 0.250)
Gd (0.750, 0.250, 0.250)
Gd (0.750, 0.750, 0.750)
Au (0.000, 0.000, 0.500)
Au (0.000, 0.500, 0.000)
Au (0.500, 0.000, 0.000)
Au (0.500, 0.500, 0.500)

Summary:
crystal system	cubic
distance to the lowest polymorph of the same formula	0.00	eV per formula unit
formation energy	0.0995	eV/atom


Record 2
SmGdAu2 | PBE | optimized geometry

a = 4.755 Å, b = 5.739 Å, c = 7.299 Å
α = 90.00°, β = 90.00°, γ = 90.00°
Sites, in units of the cell vectors:
Sm (0.000, 0.106, 0.000)
Sm (0.000, 0.894, 0.500)
Gd (0.500, 0.394, 0.630)
Gd (0.500, 0.606, 0.130)
Au (0.000, 0.404, 0.357)
Au (0.000, 0.596, 0.857)
Au (0.500, 0.102, 0.275)
Au (0.500, 0.898, 0.775)

Summary:
crystal system	orthorhombic
formation energy	-0.8509	eV/atom


Record 3
Sm2GdSn4Au4 | PBE | optimized geometry

a = 8.886 Å, b = 8.886 Å, c = 8.886 Å
α = 149.67°, β = 131.70°, γ = 58.11°
Sites, in units of the cell vectors:
Sm (0.129, 0.129, 0.000)
Sm (0.871, 0.871, 0.000)
Gd (0.500, 0.000, 0.500)
Sn (0.198, 0.500, 0.698)
Sn (0.287, 0.787, 0.500)
Sn (0.713, 0.213, 0.500)
Sn (0.802, 0.500, 0.302)
Au (0.128, 0.330, 0.798)
Au (0.467, 0.670, 0.798)
Au (0.533, 0.330, 0.202)
Au (0.872, 0.670, 0.202)

Summary:
crystal system	orthorhombic
electronic total energy	-4.603	eV per atom


Record 4
SmGdTlAu2 | PBE | optimized geometry

a = 3.618 Å, b = 4.588 Å, c = 14.919 Å
α = 90.00°, β = 90.00°, γ = 90.00°
Sites, in units of the cell vectors:
Sm (0.000, 0.000, 0.000)
Sm (0.000, 0.500, 0.500)
Gd (0.000, 0.000, 0.740)
Gd (0.000, 0.500, 0.240)
Tl (0.500, 0.000, 0.371)
Tl (0.500, 0.500, 0.871)
Au (0.500, 0.000, 0.176)
Au (0.500, 0.000, 0.568)
Au (0.500, 0.500, 0.068)
Au (0.500, 0.500, 0.676)

Summary:
crystal system	orthorhombic
electronic total energy	-4.326	eV per atom


Number 1: density 10.03 g cm⁻³. Number 2: density 11.70 g cm⁻³. Number 3: density 10.88 g cm⁻³. Number 4: density 12.15 g cm⁻³.